Entry 1:
Material: Ni9Pb2
Method: DFT, GGA-PBE
State: relaxed

Cell: 2.828 2.828 32.627 Å, 90.00 90.00 120.00°
Last column: magnetic moment on the atom in μB.
Sites, in units of the cell vectors:
Ni1 0.333 0.667 0.276  0.22
Ni2 0.000 0.000 0.331  0.61
Ni3 0.667 0.333 0.387  0.68
Ni4 0.333 0.667 0.444  0.66
Ni5 0.000 0.000 0.500  0.66
Ni6 0.667 0.333 0.556  0.66
Ni7 0.333 0.667 0.613  0.68
Ni8 0.000 0.000 0.669  0.61
Ni9 0.667 0.333 0.724  0.22
Pb1 0.667 0.333 0.205  -0.01
Pb2 0.333 0.667 0.795  -0.01

Summary:
- energy above the most stable polymorph in this dataset (eV per atom) = 0.000
- E (eV per cell) = -51.8


Entry 2:
Material: RbGaRe
Method: DFT, GGA-PBE
State: relaxed

Cell: 4.930 4.930 4.930 Å, 60.00 60.00 60.00°
Sites, in units of the cell vectors:
Ga1 0.000 0.000 0.000
Rb1 0.250 0.250 0.250
Re1 0.750 0.750 0.750

Summary:
- energy above the most stable polymorph in this dataset (eV per atom) = 0.000
- E (eV per cell) = -11.0


Entry 3:
Material: HoErB
Method: DFT, GGA-PBE
State: relaxed

Cell: 4.492 4.492 4.492 Å, 60.00 60.00 60.00°
Sites, in units of the cell vectors:
B1 0.000 0.000 0.000
Er1 0.250 0.250 0.250
Ho1 0.750 0.750 0.750

Summary:
- energy above the most stable polymorph in this dataset (eV per atom) = 0.000
- E (eV per cell) = -15.7


Entry 4:
Material: Zn3Sb2
Method: DFT, GGA-PBE
State: relaxed

Cell: 4.769 7.080 7.080 Å, 90.00 90.00 90.00°
Sites, in units of the cell vectors:
Sb1 0.774 0.740 0.240
Sb2 0.226 0.240 0.260
Sb3 0.226 0.760 0.740
Sb4 0.774 0.260 0.760
Zn1 0.500 0.000 0.000
Zn2 0.736 0.366 0.134
Zn3 0.264 0.866 0.366
Zn4 0.500 0.500 0.500
Zn5 0.264 0.134 0.634
Zn6 0.736 0.634 0.866

Summary:
- E (eV per cell) = -24.2